Record 1
Computed, not measured: a geometry-optimized SiOs2O structure at the PBE-GGA level of DFT.

Lattice parameters (Å, degrees): 5.8642 5.8642 5.8642 127.47 127.47 77.49
With the nearest neighbours (Å) after each atom.
Fractional coordinates of all 8 atoms:
Si 0.0000 0.0000 0.0000  4 Os 2.34
Si 0.7500 0.2500 0.5000  4 Os 2.34
Os 0.1801 0.6250 0.0551  2 O 2.00
Os 0.3750 0.4301 0.5551  2 O 2.00
Os 0.5699 0.1250 0.9449  2 O 2.00
Os 0.8750 0.8199 0.4449  2 O 2.00
O 0.2500 0.7500 0.5000  4 Os 2.00
O 0.5000 0.5000 0.0000  4 Os 2.00

Summary:
* calculated volume: 15.40 Å³/atom
* ΔE_f (raw): 0.50 eV/atom
* distance to the lowest polymorph of the same formula: 65.8 kJ/mol of formula units

=====

Record 2
Computed, not measured: a geometry-optimized TbCe2Re9 structure at the PBE-GGA level of DFT.

Lattice parameters (Å, degrees): 9.6534 9.6534 9.6534 31.89 31.89 31.89
With the nearest neighbours (Å) after each atom.
Fractional coordinates of all 12 atoms:
Tb 0.0000 0.0000 0.0000  6 Re 3.06
Ce 0.1470 0.1470 0.1470  12 Re 3.11-3.24, 3 Ce 3.25
Ce 0.8530 0.8530 0.8530  12 Re 3.11-3.24, 3 Ce 3.25
Re 0.0786 0.5836 0.5836  7 Re 2.63-2.79
Re 0.3350 0.3350 0.3350  6 Re 2.69-2.75
Re 0.4164 0.4164 0.9214  7 Re 2.63-2.79
Re 0.4164 0.9214 0.4164  7 Re 2.63-2.79
Re 0.5000 0.5000 0.5000  6 Re 2.79, 6 Ce 3.11
Re 0.5836 0.0786 0.5836  7 Re 2.63-2.79
Re 0.5836 0.5836 0.0786  7 Re 2.63-2.79
Re 0.6650 0.6650 0.6650  6 Re 2.69-2.75
Re 0.9214 0.4164 0.4164  7 Re 2.63-2.79

Summary:
* energy relative to the elements: 0.017 eV/atom
* calculated volume: 18.59 Å³/atom

=====

Record 3
Computed, not measured: a geometry-optimized CeSm2MnN4 structure at the PBE-GGA level of DFT.

Lattice parameters (Å, degrees): 6.0351 6.0351 11.9888 90.00 90.00 146.83
With the nearest neighbours (Å) after each atom.
Fractional coordinates of all 16 atoms:
Ce 0.1035 0.8965 0.7500  6 N 2.62
Ce 0.8965 0.1035 0.2500  6 N 2.62
Sm 0.3690 0.6310 0.5471  6 N 2.36-2.62
Sm 0.3690 0.6310 0.9529  6 N 2.36-2.62
Sm 0.6310 0.3690 0.0471  6 N 2.36-2.62
Sm 0.6310 0.3690 0.4529  6 N 2.36-2.62
Mn 0.1650 0.8350 0.2500  4 N 1.88-2.06
Mn 0.8350 0.1650 0.7500  4 N 1.88-2.06
N 0.0000 0.0000 0.0000  4 Sm 2.36
N 0.0000 0.0000 0.5000  4 Sm 2.36
N 0.2751 0.7249 0.1347  1 Mn 1.88
N 0.2751 0.7249 0.3653  1 Mn 1.88
N 0.4324 0.5676 0.7500  2 Mn 2.06
N 0.5676 0.4324 0.2500  2 Mn 2.06
N 0.7249 0.2751 0.6347  1 Mn 1.88
N 0.7249 0.2751 0.8653  1 Mn 1.88

Summary:
* calculated volume: 14.93 Å³/atom
* ΔE_f (raw): -1.09 eV/atom

=====

Record 4
Computed, not measured: a geometry-optimized TbAsS structure at the PBE-GGA level of DFT.

Lattice parameters (Å, degrees): 17.0816 3.8398 3.8767 90.00 90.00 90.00
With the nearest neighbours (Å) after each atom.
Fractional coordinates of all 12 atoms:
Tb 0.1461 0.2500 0.2359  5 S 2.81-2.85, 1 As 3.09
Tb 0.3539 0.7500 0.7359  5 S 2.81-2.85, 1 As 3.09
Tb 0.6461 0.2500 0.2641  5 S 2.81-2.85, 1 As 3.09
Tb 0.8539 0.7500 0.7641  5 S 2.81-2.85, 1 As 3.09
As 0.0015 0.2500 0.7161  2 As 2.55
As 0.4985 0.7500 0.2161  2 As 2.55
As 0.5015 0.2500 0.7839  2 As 2.55
As 0.9985 0.7500 0.2839  2 As 2.55
S 0.1869 0.7500 0.7383  5 Tb 2.81-2.85
S 0.3131 0.2500 0.2383  5 Tb 2.81-2.85
S 0.6869 0.7500 0.7617  5 Tb 2.81-2.85
S 0.8131 0.2500 0.2617  5 Tb 2.81-2.85

Summary:
* calculated volume: 21.19 Å³/atom
* ΔE_f (raw): -1.58 eV/atom

=====

Record 5
Computed, not measured: a geometry-optimized RbPaSb2O6 structure at the PBE-GGA level of DFT.

Lattice parameters (Å, degrees): 8.8736 8.8736 7.3632 95.60 95.60 124.24
With the nearest neighbours (Å) after each atom.
Fractional coordinates of all 20 atoms:
Rb 0.1706 0.8294 0.7500  4 O 2.92-2.98
Rb 0.8294 0.1706 0.2500  4 O 2.92-2.98
Pa 0.3079 0.6921 0.2500  6 O 2.15-2.23
Pa 0.6921 0.3079 0.7500  6 O 2.15-2.23
Sb 0.2127 0.4259 0.8585  3 O 1.97-2.02
Sb 0.4259 0.2127 0.3585  3 O 1.97-2.02
Sb 0.5741 0.7873 0.6415  3 O 1.97-2.02
Sb 0.7873 0.5741 0.1415  3 O 1.97-2.02
O 0.0271 0.6119 0.2191  1 Sb 1.97, 1 Pa 2.15
O 0.1918 0.4010 0.1263  1 Sb 2.02, 1 Pa 2.22
O 0.3007 0.6415 0.5403  1 Sb 2.01, 1 Pa 2.23
O 0.3585 0.6993 0.9597  1 Sb 2.01, 1 Pa 2.23
O 0.3881 0.9729 0.2809  1 Sb 1.97, 1 Pa 2.15
O 0.4010 0.1918 0.6263  1 Sb 2.02, 1 Pa 2.22
O 0.5990 0.8082 0.3737  1 Sb 2.02, 1 Pa 2.22
O 0.6119 0.0271 0.7191  1 Sb 1.97, 1 Pa 2.15
O 0.6415 0.3007 0.0403  1 Sb 2.01, 1 Pa 2.23
O 0.6993 0.3585 0.4597  1 Sb 2.01, 1 Pa 2.23
O 0.8082 0.5990 0.8737  1 Sb 2.02, 1 Pa 2.22
O 0.9729 0.3881 0.7809  1 Sb 1.97, 1 Pa 2.15

Summary:
* calculated volume: 23.44 Å³/atom
* ΔE_f (raw): -2.16 eV/atom

=====

Record 6
Computed, not measured: a geometry-optimized CaCd11Rh structure at the PBE-GGA level of DFT.

Lattice parameters (Å, degrees): 7.7922 7.7922 7.5702 97.59 97.59 137.39
With the nearest neighbours (Å) after each atom.
Fractional coordinates of all 13 atoms:
Ca 0.0000 0.0000 0.0000  14 Cd 3.45-3.81, 2 Rh 3.79
Cd 0.0000 0.5000 0.0000  8 Cd 2.83-3.12
Cd 0.0028 0.6667 0.6383  1 Rh 2.94, 7 Cd 3.02-3.28
Cd 0.2763 0.4810 0.7867  1 Rh 2.85, 7 Cd 2.91-3.15
Cd 0.3333 0.9972 0.3617  1 Rh 2.94, 7 Cd 3.02-3.28
Cd 0.4810 0.2763 0.7867  1 Rh 2.85, 7 Cd 2.91-3.15
Cd 0.5000 0.0000 0.0000  8 Cd 2.83-3.12
Cd 0.5000 0.5000 0.5000  2 Rh 2.83, 8 Cd 2.91-3.03
Cd 0.5190 0.7237 0.2133  1 Rh 2.85, 7 Cd 2.91-3.15
Cd 0.6667 0.0028 0.6383  1 Rh 2.94, 7 Cd 3.02-3.28
Cd 0.7237 0.5190 0.2133  1 Rh 2.85, 7 Cd 2.91-3.15
Cd 0.9972 0.3333 0.3617  1 Rh 2.94, 7 Cd 3.02-3.28
Rh 0.0000 0.0000 0.5000  10 Cd 2.83-2.94

Summary:
* energy relative to the elements: -0.126 eV/atom
* calculated volume: 22.30 Å³/atom

=====

Record 7
Computed, not measured: a geometry-optimized Ba2HgP4 structure at the PBE-GGA level of DFT.

Lattice parameters (Å, degrees): 8.6296 8.6296 8.6296 145.29 145.29 49.91
With the nearest neighbours (Å) after each atom.
Fractional coordinates of all 7 atoms:
Ba 0.1378 0.1378 0.0000  5 P 3.20-3.36
Ba 0.8622 0.8622 0.0000  5 P 3.20-3.36
Hg 0.5000 0.5000 0.0000  6 P 2.47-2.57
P 0.0000 0.5000 0.5000  2 Hg 2.57
P 0.3424 0.3424 0.0000  1 Hg 2.47
P 0.5000 0.0000 0.5000  2 Hg 2.57
P 0.6576 0.6576 0.0000  1 Hg 2.47

Summary:
* energy relative to the elements: 0.018 eV/atom
* calculated volume: 29.63 Å³/atom

=====

Record 8
Computed, not measured: a geometry-optimized NbReBr3 structure at the PBE-GGA level of DFT.

Lattice parameters (Å, degrees): 5.3649 5.3649 5.3649 90.00 90.00 90.00
With the nearest neighbours (Å) after each atom.
Fractional coordinates of all 5 atoms:
Nb 0.0000 0.0000 0.0000  6 Br 2.68
Re 0.5000 0.5000 0.5000  12 Br 3.79
Br 0.0000 0.0000 0.5000  2 Nb 2.68
Br 0.0000 0.5000 0.0000  2 Nb 2.68
Br 0.5000 0.0000 0.0000  2 Nb 2.68

Summary:
* calculated volume: 30.88 Å³/atom
* ΔE_f (raw): 1.02 eV/atom
* distance to the lowest polymorph of the same formula: 0.0 kJ/mol of formula units

=====

Record 9
Computed, not measured: a geometry-optimized TiMn2GaCo structure at the PBE-GGA level of DFT.

Lattice parameters (Å, degrees): 4.5366 4.5366 4.2520 90.00 90.00 90.00
With the nearest neighbours (Å) after each atom.
Fractional coordinates of all 5 atoms:
Ti 0.0000 0.0000 0.0000  2 Co 2.13
Mn 0.0000 0.5000 0.5000  2 Co 2.27
Mn 0.5000 0.0000 0.5000  2 Co 2.27
Ga 0.5000 0.5000 0.0000  8 Mn 3.11, 4 Ti 3.21
Co 0.0000 0.0000 0.5000  2 Ti 2.13, 4 Mn 2.27

Summary:
* energy relative to the elements: 0.511 eV/atom
* calculated volume: 17.50 Å³/atom

=====

Record 10
Computed, not measured: a geometry-optimized Zr2Be15Cu2 structure at the PBE-GGA level of DFT.

Lattice parameters (Å, degrees): 5.7639 5.7639 5.7639 82.85 82.85 82.85
With the nearest neighbours (Å) after each atom.
Fractional coordinates of all 19 atoms:
Zr 0.1555 0.1555 0.1555  1 Cu 2.67, 18 Be 2.73-2.96
Zr 0.8445 0.8445 0.8445  1 Cu 2.67, 18 Be 2.73-2.96
Be 0.0000 0.5000 0.5000  8 Be 2.18-2.21, 2 Cu 2.31
Be 0.1565 0.1565 0.6602  8 Be 2.19-2.40, 1 Cu 2.35
Be 0.1565 0.6602 0.1565  8 Be 2.19-2.40, 1 Cu 2.35
Be 0.2130 0.5000 0.7870  8 Be 2.18-2.40
Be 0.2130 0.7870 0.5000  8 Be 2.18-2.40
Be 0.3398 0.8435 0.8435  8 Be 2.19-2.40, 1 Cu 2.35
Be 0.5000 0.0000 0.5000  8 Be 2.18-2.21, 2 Cu 2.31
Be 0.5000 0.2130 0.7870  8 Be 2.18-2.40
Be 0.5000 0.5000 0.0000  8 Be 2.18-2.21, 2 Cu 2.31
Be 0.5000 0.7870 0.2130  8 Be 2.18-2.40
Be 0.6602 0.1565 0.1565  8 Be 2.19-2.40, 1 Cu 2.35
Be 0.7870 0.2130 0.5000  8 Be 2.18-2.40
Be 0.7870 0.5000 0.2130  8 Be 2.18-2.40
Be 0.8435 0.3398 0.8435  8 Be 2.19-2.40, 1 Cu 2.35
Be 0.8435 0.8435 0.3398  8 Be 2.19-2.40, 1 Cu 2.35
Cu 0.3949 0.3949 0.3949  12 Be 2.31-2.48, 1 Cu 2.34
Cu 0.6051 0.6051 0.6051  12 Be 2.31-2.48, 1 Cu 2.34

Summary:
* energy relative to the elements: -0.239 eV/atom
* calculated volume: 9.86 Å³/atom

=====

Record 11
Computed, not measured: a geometry-optimized CaSmCd14 structure at the PBE-GGA level of DFT.

Lattice parameters (Å, degrees): 6.6471 6.6471 8.5505 90.00 90.00 90.00
With the nearest neighbours (Å) after each atom.
Fractional coordinates of all 16 atoms:
Ca 0.0000 0.0000 0.0000  12 Cd 3.24-3.32
Sm 0.5000 0.5000 0.0000  12 Cd 3.25-3.32
Cd 0.0000 0.0000 0.5000  12 Cd 3.11-3.32
Cd 0.0000 0.5000 0.0000  8 Cd 3.25, 2 Sm 3.32, 2 Ca 3.32
Cd 0.0000 0.5000 0.5000  12 Cd 3.11-3.32
Cd 0.2497 0.2497 0.2618  10 Cd 3.11-3.33, 1 Ca 3.24, 1 Sm 3.25
Cd 0.2497 0.2497 0.7382  10 Cd 3.11-3.33, 1 Ca 3.24, 1 Sm 3.25
Cd 0.2497 0.7503 0.2618  10 Cd 3.11-3.33, 1 Ca 3.24, 1 Sm 3.25
Cd 0.2497 0.7503 0.7382  10 Cd 3.11-3.33, 1 Ca 3.24, 1 Sm 3.25
Cd 0.5000 0.0000 0.0000  8 Cd 3.25, 2 Sm 3.32, 2 Ca 3.32
Cd 0.5000 0.0000 0.5000  12 Cd 3.11-3.32
Cd 0.5000 0.5000 0.5000  12 Cd 3.11-3.32
Cd 0.7503 0.2497 0.2618  10 Cd 3.11-3.33, 1 Ca 3.24, 1 Sm 3.25
Cd 0.7503 0.2497 0.7382  10 Cd 3.11-3.33, 1 Ca 3.24, 1 Sm 3.25
Cd 0.7503 0.7503 0.2618  10 Cd 3.11-3.33, 1 Ca 3.24, 1 Sm 3.25
Cd 0.7503 0.7503 0.7382  10 Cd 3.11-3.33, 1 Ca 3.24, 1 Sm 3.25

Summary:
* energy relative to the elements: -0.141 eV/atom
* calculated volume: 23.61 Å³/atom